{
  "formula": "Tb7SbAs5",
  "functional": "PBE",
  "state": "optimized geometry",
  "lattice": [[2.0801, -6.8062, 0.0000], [2.0801, 6.8062, 0.0000], [0.0000, 0.0000, 24.3930]],
  "species": ["Tb", "Tb", "Tb", "Tb", "Tb", "Tb", "Tb", "Tb", "Tb", "Tb", "Tb", "Tb", "Tb", "Tb", "Sb", "Sb", "As", "As", "As", "As", "As", "As", "As", "As", "As", "As"],
  "fractional_positions": [[0.0329, 0.9671, 0.7500], [0.1364, 0.8636, 0.0347], [0.1364, 0.8636, 0.4653], [0.3240, 0.6760, 0.6747], [0.3240, 0.6760, 0.8253], [0.4090, 0.5910, 0.1052], [0.4090, 0.5910, 0.3948], [0.5910, 0.4090, 0.6052], [0.5910, 0.4090, 0.8948], [0.6760, 0.3240, 0.1747], [0.6760, 0.3240, 0.3253], [0.8636, 0.1364, 0.5347], [0.8636, 0.1364, 0.9653], [0.9671, 0.0329, 0.2500], [0.2988, 0.7012, 0.2500], [0.7012, 0.2988, 0.7500], [0.0435, 0.9565, 0.1429], [0.0435, 0.9565, 0.3571], [0.2281, 0.7719, 0.5732], [0.2281, 0.7719, 0.9268], [0.5000, 0.5000, 0.0000], [0.5000, 0.5000, 0.5000], [0.7719, 0.2281, 0.0732], [0.7719, 0.2281, 0.4268], [0.9565, 0.0435, 0.6429], [0.9565, 0.0435, 0.8571]],
  "spacegroup": "Cmcm (63)",
  "raw_formation_energy_ev_per_fu": -17.873,
  "dft_energy_ev_per_atom": -5.973,
  "volume_a3_per_atom": 26.57
}